Density functional theory data (GGA-PBE) for a geometry-optimized BaIrRh2 structure.

Values from the calculation:
The value obtained for the final energy is -5.71 eV/atom. As for the polymorph energy (0 for the lowest one): 2.75 eV/f.u. The calculation puts the formation energy at 665.4 meV per atom. The calculation puts the mass density at 11.57 Mg/m³. For the volume, the calculation gives 76.9 Å³/f.u.

abc: 4.281 4.281 8.388
angles: 90.00 90.00 90.00
Space group I-4m2 (No. 119)
Asymmetric unit:
Ba 0.000 0.000 0.000 x2
Ir 0.000 0.500 0.750 x2
Rh 0.000 0.000 0.500 x2
Rh 0.000 0.500 0.250 x2

Density functional theory data (GGA-PBE) for a geometry-optimized Na3CuO2 structure.

Values from the calculation:
The value obtained for the final energy is -4.10 eV/atom. The calculation puts the energy relative to the elements, uncorrected at -1106 meV per atom. As for the polymorph energy (0 for the lowest one): 0.14 eV/f.u. The calculation puts the mass density at 3.24 Mg/m³. For the volume, the calculation gives 84.3 Å³/f.u.

abc: 5.337 10.569 5.976
angles: 90.00 90.00 90.00
Space group Ibam (No. 72)
Asymmetric unit:
Na 0.000 0.000 0.250 x4
Na 0.000 0.263 0.250 x8
Cu 0.000 0.500 0.000 x4
O 0.249 0.126 0.000 x8

Density functional theory data (GGA-PBE) for a geometry-optimized LiCa3Cd structure.

Values from the calculation:
The value obtained for the final energy is -1.66 eV/atom. As for the polymorph energy (0 for the lowest one): 1.31 eV/f.u. The calculation puts the formation energy at 109.7 meV per atom. The calculation puts the mass density at 1.86 Mg/m³. For the volume, the calculation gives 214.1 Å³/f.u.

abc: 5.982 5.982 5.982
angles: 90.00 90.00 90.00
Space group Pm-3m (No. 221)
Asymmetric unit:
Li 0.000 0.000 0.000 x1
Ca 0.000 0.500 0.500 x3
Cd 0.500 0.500 0.500 x1

Density functional theory data (GGA-PBE) for a geometry-optimized LaEr4Sc structure.

Values from the calculation:
The value obtained for the final energy is -4.24 eV/atom. As for the polymorph energy (0 for the lowest one): 3.24 eV/f.u. The calculation puts the formation energy at 674.6 meV per atom. The calculation puts the mass density at 6.37 Mg/m³. For the volume, the calculation gives 222.4 Å³/f.u.

abc: 4.920 4.920 9.188
angles: 90.00 90.00 90.00
Space group P4/mmm (No. 123)
Asymmetric unit:
La 0.000 0.000 0.000 x1
Er 0.000 0.500 0.296 x4
Sc 0.500 0.500 0.500 x1

Density functional theory data (GGA-PBE) for a geometry-optimized LiTbYIn structure.

Values from the calculation:
The value obtained for the final energy is -4.22 eV/atom. The calculation puts the formation energy at -286.3 meV per atom. The calculation puts the mass density at 5.87 Mg/m³. For the volume, the calculation gives 104.6 Å³/f.u.

abc: 7.480 7.480 7.480
angles: 90.00 90.00 90.00
Space group F-43m (No. 216)
Asymmetric unit:
Li 0.000 0.000 0.000 x4
Tb 0.250 0.250 0.250 x4
Y 0.250 0.250 0.750 x4
In 0.000 0.000 0.500 x4

Density functional theory data (GGA-PBE) for a geometry-optimized BeAg5Br8 structure.

Values from the calculation:
The value obtained for the final energy is -2.68 eV/atom. The calculation puts the energy relative to the elements, uncorrected at -436 meV per atom. The calculation puts the mass density at 4.17 Mg/m³. For the volume, the calculation gives 473.4 Å³/f.u.

abc: 8.950 8.950 11.820
angles: 90.00 90.00 90.00
Space group I-4 (No. 82)
Asymmetric unit:
Be 0.000 0.000 0.000 x2
Ag 0.000 0.500 0.250 x2
Ag 0.229 0.768 0.501 x8
Br 0.000 0.238 0.361 x8
Br 0.001 0.796 0.894 x8

Density functional theory data (GGA-PBE) for a geometry-optimized Ag2RuPbCl8 structure.

Values from the calculation:
The value obtained for the final energy is -3.42 eV/atom. The calculation puts the energy relative to the elements, uncorrected at -628 meV per atom. The calculation puts the mass density at 3.95 Mg/m³. For the volume, the calculation gives 339.9 Å³/f.u.

abc: 6.487 6.826 8.206
angles: 72.14 88.12 79.46
Space group P-1 (No. 2)
Asymmetric unit:
Ag 0.028 0.175 0.287 x2
Ru 0.500 0.500 0.000 x1
Pb 0.500 0.500 0.500 x1
Cl 0.096 0.764 0.429 x2
Cl 0.169 0.706 0.994 x2
Cl 0.367 0.308 0.847 x2
Cl 0.417 0.263 0.264 x2

Density functional theory data (GGA-PBE) for a geometry-optimized KGeP2O8 structure.

Values from the calculation:
The value obtained for the final energy is -6.60 eV/atom. The calculation puts the energy relative to the elements, uncorrected at -1914 meV per atom. The calculation puts the mass density at 2.97 Mg/m³. For the volume, the calculation gives 168.5 Å³/f.u.

abc: 4.8671 4.8671 8.2120
angles: 90.00 90.00 120.00
Space group P-3 (No. 147)
Asymmetric unit:
K 0.0000 0.0000 0.0000 x1
Ge 0.0000 0.0000 0.5000 x1
P 0.3333 0.6667 0.6978 x2
O 0.0648 0.3387 0.6373 x6
O 0.3333 0.6667 0.8835 x2